1.
Density functional theory data (PBE) for a geometry-optimized Tb4GaAg3 structure.

Computed properties:
Its crystal system is tetragonal. The calculation puts the formation energy at -382 meV per atom. As for the density: 8.895 g/cm3.

Cell lengths 3.5979, 3.5979, 14.8395 Å; angles 90.00, 90.00, 90.00 degrees
Space group P4/mmm (No. 123)
One atom of each set of equivalent atoms:
Tb 0.0000 0.0000 0.1213 (multiplicity 2)
Tb 0.0000 0.0000 0.3735 (multiplicity 2)
Ga 0.5000 0.5000 0.0000 (multiplicity 1)
Ag 0.5000 0.5000 0.2483 (multiplicity 2)
Ag 0.5000 0.5000 0.5000 (multiplicity 1)

***

2.
Density functional theory data (PBE) for a geometry-optimized HoICl structure.

Computed properties:
Its crystal system is monoclinic. As for the density: 5.437 g/cm3. For the raw formation energy, the calculation gives -1.48 eV per atom.

Cell lengths 4.9887, 4.9873, 8.1293 Å; angles 90.00, 98.71, 90.00 degrees
Space group P2_1/m (No. 11)
One atom of each set of equivalent atoms:
Ho 0.2501 0.2500 0.0000 (multiplicity 2)
I 0.1874 0.7500 0.7463 (multiplicity 2)
Cl 0.2930 0.7500 0.1742 (multiplicity 2)

***

3.
Density functional theory data (PBE) for a geometry-optimized MoBrN structure.

Computed properties:
Its crystal system is orthorhombic. As for the density: 5.371 g/cm3. For the raw formation energy, the calculation gives -0.36 eV per atom.

Cell lengths 3.2809, 4.0420, 8.8513 Å; angles 90.00, 90.00, 90.00 degrees
Space group Pmmn (No. 59, origin choice 2)
One atom of each set of equivalent atoms:
Mo 0.2500 0.2500 0.0699 (multiplicity 2)
Br 0.2500 0.7500 0.6938 (multiplicity 2)
N 0.2500 0.7500 0.0858 (multiplicity 2)

***

4.
Density functional theory data (PBE) for a geometry-optimized Cu2IrPb structure.

Computed properties:
Its crystal system is monoclinic. The calculation puts the formation energy at 298 meV per atom. As for the density: 13.869 g/cm3.

Cell lengths 5.6526, 5.6694, 3.9342 Å; angles 90.00, 90.20, 90.00 degrees
Space group C2/m (No. 12)
One atom of each set of equivalent atoms:
Cu 0.2500 0.2500 0.0000 (multiplicity 4)
Ir 0.0000 0.0000 0.5000 (multiplicity 2)
Pb 0.0000 0.5000 0.5000 (multiplicity 2)

***

5.
Density functional theory data (PBE) for a geometry-optimized LiRuW2 structure.

Computed properties:
Its crystal system is trigonal. The calculation puts the formation energy at 337 meV per atom. As for the density: 12.566 g/cm3.

Cell lengths 2.7619, 2.7619, 28.5458 Å; angles 90.00, 90.00, 120.00 degrees
Space group R-3m (No. 166, hexagonal axes)
One atom of each set of equivalent atoms:
Li 0.0000 0.0000 0.0000 (multiplicity 3)
Ru 0.0000 0.0000 0.5000 (multiplicity 3)
W 0.0000 0.0000 0.2453 (multiplicity 6)

***

6.
Density functional theory data (PBE) for a geometry-optimized Sc8HgPt2 structure.

Computed properties:
Its crystal system is orthorhombic. The calculation puts the formation energy at -519 meV per atom. As for the density: 6.721 g/cm3.

Cell lengths 4.5976, 7.2980, 13.9971 Å; angles 90.00, 90.00, 90.00 degrees
Space group Immm (No. 71)
One atom of each set of equivalent atoms:
Sc 0.0000 0.0000 0.1410 (multiplicity 4)
Sc 0.0000 0.2178 0.3317 (multiplicity 8)
Sc 0.0000 0.3103 0.0000 (multiplicity 4)
Hg 0.0000 0.5000 0.5000 (multiplicity 2)
Pt 0.0000 0.5000 0.1824 (multiplicity 4)

***

7.
Density functional theory data (PBE) for a geometry-optimized AuIN2 structure.

Computed properties:
Its crystal system is tetragonal. As for the density: 8.721 g/cm3. For the raw formation energy, the calculation gives 1.83 eV per atom.

Cell lengths 4.6722, 4.6722, 12.2771 Å; angles 90.00, 90.00, 90.00 degrees
Space group I-42d (No. 122)
One atom of each set of equivalent atoms:
Au 0.0000 0.0000 0.0000 (multiplicity 4)
I 0.0000 0.0000 0.5000 (multiplicity 4)
N 0.2436 0.2500 0.6250 (multiplicity 8)

***

8.
Density functional theory data (PBE) for a geometry-optimized Pm2Dy2Tm2Mg structure.

Computed properties:
Its crystal system is monoclinic. The calculation puts the formation energy at 88 meV per atom. As for the density: 7.316 g/cm3.

Cell lengths 12.0992, 3.6444, 11.5288 Å; angles 90.00, 119.23, 90.00 degrees
Space group C2/m (No. 12)
One atom of each set of equivalent atoms:
Pm 0.0264 0.0000 0.2433 (multiplicity 4)
Dy 0.1807 0.0000 0.5876 (multiplicity 4)
Tm 0.2451 0.0000 0.1258 (multiplicity 4)
Mg 0.0000 0.5000 0.0000 (multiplicity 2)

***

9.
Density functional theory data (PBE) for a geometry-optimized TbDyW2N6 structure.

Computed properties:
Its crystal system is monoclinic. As for the density: 8.202 g/cm3. For the raw formation energy, the calculation gives -1.01 eV per atom.

Cell lengths 11.1305, 9.6176, 6.2947 Å; angles 90.00, 111.70, 90.00 degrees
Space group C2/c (No. 15)
One atom of each set of equivalent atoms:
Tb 0.0000 0.2090 0.2500 (multiplicity 4)
Dy 0.0000 0.4102 0.7500 (multiplicity 4)
W 0.2095 0.0899 0.7298 (multiplicity 8)
N 0.1102 0.3910 0.1531 (multiplicity 8)
N 0.1315 0.2569 0.6592 (multiplicity 8)
N 0.1443 0.0071 0.4362 (multiplicity 8)

***

10.
Density functional theory data (PBE) for a geometry-optimized ScZnSb2Te structure.

Computed properties:
Its crystal system is tetragonal. As for the density: 5.616 g/cm3. For the raw formation energy, the calculation gives 0.30 eV per atom.

Cell lengths 5.1645, 5.1645, 5.3376 Å; angles 90.00, 90.00, 90.00 degrees
Space group P4/mmm (No. 123)
One atom of each set of equivalent atoms:
Sc 0.0000 0.0000 0.0000 (multiplicity 1)
Zn 0.5000 0.5000 0.5000 (multiplicity 1)
Sb 0.0000 0.5000 0.5000 (multiplicity 2)
Te 0.5000 0.5000 0.0000 (multiplicity 1)

***

11.
Density functional theory data (PBE) for a geometry-optimized Al2Te4P structure.

Computed properties:
Its crystal system is tetragonal. As for the density: 4.885 g/cm3. For the raw formation energy, the calculation gives 0.05 eV per atom.

Cell lengths 7.7392, 7.7392, 6.7574 Å; angles 90.00, 90.00, 90.00 degrees
Space group P4/nbm (No. 125, origin choice 2)
One atom of each set of equivalent atoms:
Al 0.2500 0.7500 0.0000 (multiplicity 2)
Al 0.2500 0.7500 0.5000 (multiplicity 2)
Te 0.0606 0.5606 0.2380 (multiplicity 8)
P 0.2500 0.2500 0.0000 (multiplicity 2)

***

12.
Density functional theory data (PBE) for a geometry-optimized HoSO4F structure.

Computed properties:
Its crystal system is monoclinic. As for the density: 4.852 g/cm3. For the raw formation energy, the calculation gives -2.53 eV per atom.

Cell lengths 8.9319, 6.9433, 6.4219 Å; angles 90.00, 105.74, 90.00 degrees
Space group C2/m (No. 12)
One atom of each set of equivalent atoms:
Ho 0.2081 0.0000 0.1245 (multiplicity 4)
S 0.1481 0.5000 0.2753 (multiplicity 4)
O 0.0188 0.5000 0.7448 (multiplicity 4)
O 0.1915 0.3306 0.1552 (multiplicity 8)
O 0.2410 0.5000 0.5003 (multiplicity 4)
F 0.0212 0.0000 0.8190 (multiplicity 4)